Entry 1:
Below is a relaxed structure of KHgH, with properties calculated at the PBE level.

## Properties
Total magnetization: 0.00 μB per atom
Excess energy over the best structure of this formula in the dataset: 0.052 eV/atom
Calculated total energy: -1.66 eV/atom

abc: 7.028 6.928 7.773
angles: 90.00 125.11 90.00
Fractional positions:
K  0.560  0.399  0.796
K  0.440  0.601  0.204
K  0.060  0.101  0.296
K  0.940  0.899  0.704
Hg  0.515  0.889  0.814
Hg  0.015  0.611  0.314
Hg  0.485  0.111  0.186
Hg  0.985  0.389  0.686
H  0.711  0.334  0.195
H  0.289  0.666  0.805
H  0.789  0.834  0.305
H  0.211  0.166  0.695



Entry 2:
Below is a relaxed structure of KHg3H, with properties calculated at the PBE level.

## Properties
Density of states at the Fermi level: 1.012 states/eV per cell
Total magnetization: 0.00 μB per atom
Excess energy over the best structure of this formula in the dataset: 0.083 eV/atom
Calculated total energy: -1.15 eV/atom

abc: 5.614 5.776 9.464
angles: 100.52 97.84 113.44
Fractional positions:
K  0.357  0.384  0.472
K  0.797  0.248  0.806
Hg  0.086  0.729  0.228
Hg  0.701  0.994  0.440
Hg  0.820  0.120  0.152
Hg  0.206  0.932  0.945
Hg  0.040  0.807  0.608
Hg  0.463  0.529  0.056
H  0.394  0.916  0.557
H  0.877  0.416  0.548